A geometry-optimized NiS2O12 structure, computed with GGA+U.

a = 4.826 Å, b = 6.204 Å, c = 7.534 Å
α = 104.80°, β = 93.76°, γ = 96.54°
Positions (direct):
Ni 0.000 0.000 0.000
S 0.404 0.114 0.805
S 0.596 0.886 0.195
O 0.097 0.574 0.282
O 0.230 0.889 0.764
O 0.290 0.895 0.169
O 0.301 0.254 0.973
O 0.306 0.560 0.371
O 0.361 0.206 0.640
O 0.639 0.794 0.360
O 0.694 0.440 0.629
O 0.699 0.746 0.027
O 0.710 0.105 0.831
O 0.770 0.111 0.236
O 0.903 0.426 0.718

Calculated values
Calculated volume: 14.375 Å³/atom
Total energy: -5.4032 eV per atom
Energy relative to the lowest polymorph listed for this composition: 0.0 meV/atom
Spin magnetization: 0.267 μB/atom
Symmetry: P-1 (2)